No. 1
CeThAu: relaxed, PBE-GGA.

```
data_CeThAu
_chemical_formula_sum 'Ce4 Th4 Au4'
_cell_length_a 7.1804
_cell_length_b 7.1804
_cell_length_c 7.1804
_cell_angle_alpha 90.00
_cell_angle_beta 90.00
_cell_angle_gamma 90.00
_symmetry_space_group_name_H-M 'F -4 3 m'
_symmetry_Int_Tables_number 216
_symmetry_space_group_name_Hall 'F -4 2 3'
loop_
_atom_site_label
_atom_site_type_symbol
_atom_site_fract_x
_atom_site_fract_y
_atom_site_fract_z
_atom_site_occupancy
Ce1 Ce 0.0000 0.0000 0.0000 1
Th1 Th 0.0000 0.0000 0.5000 1
Au1 Au 0.2500 0.2500 0.2500 1
```

Results
Polymorph energy (0 for the lowest one) in meV per atom: 260
Calculated volume in Å³/cell: 370.2

---

No. 2
LaOs2W: relaxed, PBE-GGA.

```
data_LaOs2W
_chemical_formula_sum 'La1 Os2 W1'
_cell_length_a 2.8308
_cell_length_b 3.7946
_cell_length_c 7.2036
_cell_angle_alpha 90.00
_cell_angle_beta 90.00
_cell_angle_gamma 90.00
_symmetry_space_group_name_H-M 'P m m 2'
_symmetry_Int_Tables_number 25
loop_
_symmetry_equiv_pos_as_xyz
'x,y,z'
'-x,-y,z'
'-x,y,z'
'x,-y,z'
loop_
_atom_site_label
_atom_site_type_symbol
_atom_site_fract_x
_atom_site_fract_y
_atom_site_fract_z
_atom_site_occupancy
La1 La 0.0000 0.0000 0.0000 1
Os1 Os 0.0000 0.0000 0.4792 1
Os2 Os 0.5000 0.5000 0.3026 1
W1 W 0.5000 0.5000 0.6635 1
```

Results
Polymorph energy (0 for the lowest one) in meV per atom: 346
Calculated volume in Å³/cell: 77.4

---

No. 3
CeDySc2Se4: relaxed, PBE-GGA.

```
data_CeDySc2Se4
_chemical_formula_sum 'Ce1 Dy1 Sc2 Se4'
_cell_length_a 6.9301
_cell_length_b 3.9747
_cell_length_c 6.9874
_cell_angle_alpha 90.00
_cell_angle_beta 109.02
_cell_angle_gamma 90.00
_symmetry_space_group_name_H-M 'P 1 2/m 1'
_symmetry_Int_Tables_number 10
loop_
_symmetry_equiv_pos_as_xyz
'x,y,z'
'-x,-y,-z'
'-x,y,-z'
'x,-y,z'
loop_
_atom_site_label
_atom_site_type_symbol
_atom_site_fract_x
_atom_site_fract_y
_atom_site_fract_z
_atom_site_occupancy
Ce1 Ce 0.0000 0.0000 0.0000 1
Dy1 Dy 0.5000 0.5000 0.0000 1
Sc1 Sc 0.0000 0.5000 0.5000 1
Sc2 Sc 0.5000 0.0000 0.5000 1
Se1 Se 0.2486 0.0000 0.7313 1
Se2 Se 0.2628 0.5000 0.2727 1
```

Results
Uncorrected formation energy in eV per atom: -1.681
Calculated volume in Å³/cell: 182.0

---

No. 4
TaPdSCl2: relaxed, PBE-GGA.

```
data_TaPdSCl2
_chemical_formula_sum 'Ta1 Pd1 S1 Cl2'
_cell_length_a 4.8158
_cell_length_b 4.8158
_cell_length_c 4.7694
_cell_angle_alpha 90.00
_cell_angle_beta 90.00
_cell_angle_gamma 90.00
_symmetry_space_group_name_H-M 'P 4/m m m'
_symmetry_Int_Tables_number 123
_symmetry_space_group_name_Hall '-P 4 2'
loop_
_atom_site_label
_atom_site_type_symbol
_atom_site_fract_x
_atom_site_fract_y
_atom_site_fract_z
_atom_site_occupancy
Ta1 Ta 0.0000 0.0000 0.0000 1
Pd1 Pd 0.5000 0.5000 0.5000 1
S1 S 0.0000 0.0000 0.5000 1
Cl1 Cl 0.0000 0.5000 0.0000 1
```

Results
Uncorrected formation energy in eV per atom: -0.138
Polymorph energy (0 for the lowest one) in meV per atom: 0
Calculated volume in Å³/cell: 110.6

---

No. 5
Ge2CBr: relaxed, PBE-GGA.

```
data_Ge2CBr
_chemical_formula_sum 'Ge8 C4 Br4'
_cell_length_a 6.5749
_cell_length_b 6.5749
_cell_length_c 6.5749
_cell_angle_alpha 90.00
_cell_angle_beta 90.00
_cell_angle_gamma 90.00
_symmetry_space_group_name_H-M 'F m -3 m'
_symmetry_Int_Tables_number 225
_symmetry_space_group_name_Hall '-F 4 2 3'
loop_
_atom_site_label
_atom_site_type_symbol
_atom_site_fract_x
_atom_site_fract_y
_atom_site_fract_z
_atom_site_occupancy
Ge1 Ge 0.2500 0.2500 0.2500 1
C1 C 0.0000 0.0000 0.0000 1
Br1 Br 0.0000 0.0000 0.5000 1
```

Results
Uncorrected formation energy in eV per atom: 1.537
Polymorph energy (0 for the lowest one) in meV per atom: 835
Calculated volume in Å³/cell: 284.2

---

No. 6
La3ZnAs: relaxed, PBE-GGA.

```
data_La3ZnAs
_chemical_formula_sum 'La3 Zn1 As1'
_cell_length_a 5.7121
_cell_length_b 5.7121
_cell_length_c 5.7121
_cell_angle_alpha 90.00
_cell_angle_beta 90.00
_cell_angle_gamma 90.00
_symmetry_space_group_name_H-M 'P m -3 m'
_symmetry_Int_Tables_number 221
_symmetry_space_group_name_Hall '-P 4 2 3'
loop_
_atom_site_label
_atom_site_type_symbol
_atom_site_fract_x
_atom_site_fract_y
_atom_site_fract_z
_atom_site_occupancy
La1 La 0.0000 0.0000 0.5000 1
Zn1 Zn 0.5000 0.5000 0.5000 1
As1 As 0.0000 0.0000 0.0000 1
```

Results
Polymorph energy (0 for the lowest one) in meV per atom: 0
Calculated volume in Å³/cell: 186.4